# 1
Sb2Se3: optimized geometry, PBE.

a = 12.7914 Å, b = 4.0306 Å, c = 11.5311 Å
α = 90.00°, β = 90.00°, γ = 90.00°
With the nearest neighbours (Å) after each atom.
Element x y z (fractional)
Sb (0.0352, 0.2500, 0.1682)  3 Se 2.71-2.72
Sb (0.1381, 0.7500, 0.4634)  3 Se 2.62-2.82
Sb (0.3619, 0.2500, 0.9634)  3 Se 2.62-2.82
Sb (0.4648, 0.7500, 0.6682)  3 Se 2.71-2.72
Sb (0.5352, 0.2500, 0.3318)  3 Se 2.71-2.72
Sb (0.6381, 0.7500, 0.0366)  3 Se 2.62-2.82
Sb (0.8619, 0.2500, 0.5366)  3 Se 2.62-2.82
Sb (0.9648, 0.7500, 0.8318)  3 Se 2.71-2.72
Se (0.0476, 0.2500, 0.6331)  1 Sb 2.62
Se (0.1278, 0.7500, 0.0476)  2 Sb 2.72
Se (0.2047, 0.2500, 0.3089)  3 Sb 2.71-2.82
Se (0.2953, 0.7500, 0.8089)  3 Sb 2.71-2.82
Se (0.3722, 0.2500, 0.5476)  2 Sb 2.72
Se (0.4524, 0.7500, 0.1331)  1 Sb 2.62
Se (0.5476, 0.2500, 0.8669)  1 Sb 2.62
Se (0.6278, 0.7500, 0.4524)  2 Sb 2.72
Se (0.7047, 0.2500, 0.1911)  3 Sb 2.71-2.82
Se (0.7953, 0.7500, 0.6911)  3 Sb 2.71-2.82
Se (0.8722, 0.2500, 0.9524)  2 Sb 2.72
Se (0.9524, 0.7500, 0.3669)  1 Sb 2.62

E_tot (eV/atom): -4.00
Formation energy without anion corrections (eV per atom): -0.263

---

# 2
Sb4Se: optimized geometry, PBE.

a = 5.4131 Å, b = 5.4131 Å, c = 5.4131 Å
α = 90.00°, β = 90.00°, γ = 90.00°
With the nearest neighbours (Å) after each atom.
Element x y z (fractional)
Sb (0.0000, 0.0000, 0.0000)  12 Sb 3.83
Sb (0.0000, 0.5000, 0.5000)  2 Se 2.71
Sb (0.5000, 0.0000, 0.5000)  2 Se 2.71
Sb (0.5000, 0.5000, 0.0000)  2 Se 2.71
Se (0.5000, 0.5000, 0.5000)  6 Sb 2.71

E_tot (eV/atom): -3.34
Energy above the lowest structure with this stoichiometry (eV per atom): 0.3223
Formation energy without anion corrections (eV per atom): 0.653

---

# 3
Si2SbSe: optimized geometry, PBE.

a = 3.7118 Å, b = 3.7118 Å, c = 5.9796 Å
α = 90.00°, β = 90.00°, γ = 90.00°
With the nearest neighbours (Å) after each atom.
Element x y z (fractional)
Si (0.0000, 0.0000, 0.2146)  1 Si 2.57
Si (0.0000, 0.0000, 0.7854)  1 Si 2.57
Sb (0.5000, 0.5000, 0.5000)  2 Se 2.99, 8 Si 3.13
Se (0.5000, 0.5000, 0.0000)  8 Si 2.92, 2 Sb 2.99

E_tot (eV/atom): -4.10
Energy above the lowest structure with this stoichiometry (eV per atom): 0.4407
Formation energy without anion corrections (eV per atom): 0.512

---

# 4
SiSbSe: optimized geometry, PBE.

a = 3.9178 Å, b = 3.9178 Å, c = 5.1091 Å
α = 90.00°, β = 90.00°, γ = 120.00°
With the nearest neighbours (Å) after each atom.
Element x y z (fractional)
Si (0.0000, 0.0000, 0.0000)  3 Sb 2.72, 3 Se 2.73
Sb (0.3333, 0.6667, 0.2957)  3 Si 2.72
Se (0.6667, 0.3333, 0.6999)  3 Si 2.73

E_tot (eV/atom): -4.19
Energy above the lowest structure with this stoichiometry (eV per atom): 0.1299
Formation energy without anion corrections (eV per atom): 0.150

---

# 5
SiSbSe2: optimized geometry, PBE.

a = 3.9745 Å, b = 3.9745 Å, c = 9.0354 Å
α = 90.00°, β = 90.00°, γ = 125.17°
With the nearest neighbours (Å) after each atom.
Element x y z (fractional)
Si (0.0000, 0.0000, 0.0000)  2 Se 2.38
Sb (0.5000, 0.5000, 0.7455)  2 Se 2.60
Se (0.0000, 0.0000, 0.5406)  2 Sb 2.60
Se (0.5000, 0.5000, 0.1678)  2 Si 2.38

E_tot (eV/atom): -3.96
Energy above the lowest structure with this stoichiometry (eV per atom): 0.2311
Formation energy without anion corrections (eV per atom): 0.169

---

# 6
Si2SbSe: optimized geometry, PBE.

a = 6.7546 Å, b = 6.7546 Å, c = 6.7546 Å
α = 33.73°, β = 33.73°, γ = 33.73°
With the nearest neighbours (Å) after each atom.
Element x y z (fractional)
Si (0.2489, 0.2489, 0.2489)  3 Se 2.75, 3 Sb 2.78
Si (0.7511, 0.7511, 0.7511)  3 Se 2.75, 3 Sb 2.78
Sb (0.0000, 0.0000, 0.0000)  6 Si 2.78
Se (0.5000, 0.5000, 0.5000)  6 Si 2.75

E_tot (eV/atom): -4.38
Energy above the lowest structure with this stoichiometry (eV per atom): 0.1577
Formation energy without anion corrections (eV per atom): 0.229

---

# 7
SiSbSe2: optimized geometry, PBE.

a = 4.6607 Å, b = 3.6456 Å, c = 5.8303 Å
α = 90.00°, β = 105.49°, γ = 90.00°
With the nearest neighbours (Å) after each atom.
Element x y z (fractional)
Si (0.0000, 0.0000, 0.0000)  3 Se 2.50
Sb (0.5849, 0.5000, 0.5239)  5 Se 2.82-3.04
Se (0.0456, 0.0000, 0.4378)  1 Si 2.50
Se (0.3742, 0.5000, 0.0229)  2 Si 2.50

E_tot (eV/atom): -4.12
Energy above the lowest structure with this stoichiometry (eV per atom): 0.0705
Formation energy without anion corrections (eV per atom): 0.009

---

# 8
Si2SbSe: optimized geometry, PBE.

a = 5.7056 Å, b = 5.7056 Å, c = 5.7056 Å
α = 145.71°, β = 127.18°, γ = 64.50°
With the nearest neighbours (Å) after each atom.
Element x y z (fractional)
Si (0.0000, 0.0000, 0.0000)  2 Si 2.54
Si (0.8026, 0.3026, 0.5000)  2 Se 2.53, 2 Si 2.54
Sb (0.3191, 0.8191, 0.5000)  6 Si 3.05-3.08, 4 Se 3.25-3.26, 2 Sb 3.36
Se (0.6073, 0.6073, 0.0000)  2 Si 2.53

E_tot (eV/atom): -4.18
Energy above the lowest structure with this stoichiometry (eV per atom): 0.3610
Formation energy without anion corrections (eV per atom): 0.432